# PBE ThScPaCd, relaxed
data_ThScPaCd
_symmetry_space_group_name_H-M 'P 1'
_symmetry_Int_Tables_number 1
_cell_length_a 7.459
_cell_length_b 7.459
_cell_length_c 7.459
_cell_angle_alpha 90.00
_cell_angle_beta 90.00
_cell_angle_gamma 90.00
loop_
_symmetry_equiv_pos_as_xyz
'x,y,z'
loop_
_atom_site_label
_atom_site_fract_x
_atom_site_fract_y
_atom_site_fract_z
Th1 0.000 0.000 0.000
Th2 0.000 0.500 0.500
Th3 0.500 0.000 0.500
Th4 0.500 0.500 0.000
Sc1 0.000 0.000 0.500
Sc2 0.000 0.500 0.000
Sc3 0.500 0.000 0.000
Sc4 0.500 0.500 0.500
Pa1 0.250 0.250 0.250
Pa2 0.250 0.750 0.750
Pa3 0.750 0.250 0.750
Pa4 0.750 0.750 0.250
Cd1 0.250 0.250 0.750
Cd2 0.250 0.750 0.250
Cd3 0.750 0.250 0.250
Cd4 0.750 0.750 0.750
# DOS at the Fermi energy, states/eV per cell: 20.25
# E_tot, eV per atom: -5.821
# SG: No. 216

---

# PBE Pa2CdSe5, relaxed
data_Pa2CdSe5
_symmetry_space_group_name_H-M 'P 1'
_symmetry_Int_Tables_number 1
_cell_length_a 7.837
_cell_length_b 12.510
_cell_length_c 3.967
_cell_angle_alpha 90.00
_cell_angle_beta 90.00
_cell_angle_gamma 90.00
loop_
_symmetry_equiv_pos_as_xyz
'x,y,z'
loop_
_atom_site_label
_atom_site_fract_x
_atom_site_fract_y
_atom_site_fract_z
Pa1 0.011 0.176 0.000
Pa2 0.489 0.676 0.000
Pa3 0.511 0.324 0.000
Pa4 0.989 0.824 0.000
Cd1 0.000 0.500 0.500
Cd2 0.500 0.000 0.500
Se1 0.000 0.000 0.500
Se2 0.161 0.392 0.000
Se3 0.197 0.697 0.500
Se4 0.303 0.197 0.500
Se5 0.339 0.892 0.000
Se6 0.500 0.500 0.500
Se7 0.661 0.108 0.000
Se8 0.697 0.803 0.500
Se9 0.803 0.303 0.500
Se10 0.839 0.608 0.000
# DOS at the Fermi energy, states/eV per cell: 13.53
# E_tot, eV per atom: -5.765
# SG: No. 55
# Raw formation energy, eV per atom: -1.099